No. 1
Pu2TiAu: optimized geometry, PBE-GGA.

Unit cell a=3.869 b=3.869 c=6.080 alpha=90.00 beta=90.00 gamma=90.00
Site moments in Bohr magnetons follow the coordinates.
Fractional positions:
Ti1 0.500 0.500 0.000  0.88
Pu1 0.000 0.000 0.256  5.46
Pu2 0.000 0.000 0.744  5.46
Au1 0.500 0.500 0.500  0.07

Results
For the total magnetization, the calculation gives 12.7 μB/cell. Its crystal system is tetragonal. The value obtained for the calculated formation energy is -0.02 eV per atom. The energy above the most stable polymorph in this dataset comes out at 27.7 meV/atom. As for the total energy: -39.913 eV per formula unit. The calculation puts the density of states at the Fermi level at 11.5 states/eV per cell.


No. 2
PuTi2Au: optimized geometry, PBE-GGA.

Unit cell a=3.107 b=4.815 c=4.815 alpha=90.00 beta=90.00 gamma=90.00
Site moments in Bohr magnetons follow the coordinates.
Fractional positions:
Ti1 0.000 0.500 0.000  0.05
Ti2 0.000 0.000 0.500  0.05
Pu1 0.500 0.500 0.500  4.91
Au1 0.500 0.000 0.000  -0.01

Results
For the total magnetization, the calculation gives 5.1 μB/cell. Its crystal system is tetragonal. The value obtained for the calculated formation energy is -0.15 eV per atom. The energy above the most stable polymorph in this dataset comes out at 0.0 meV/atom. As for the total energy: -34.014 eV per formula unit. The calculation puts the density of states at the Fermi level at 5.3 states/eV per cell.


No. 3
PuTl2Au: optimized geometry, PBE-GGA.

Unit cell a=5.194 b=5.194 c=5.194 alpha=60.00 beta=60.00 gamma=60.00
Site moments in Bohr magnetons follow the coordinates.
Fractional positions:
Tl1 0.750 0.750 0.750  0.03
Tl2 0.250 0.250 0.250  0.03
Pu1 0.000 0.000 0.000  5.49
Au1 0.500 0.500 0.500  0.01

Results
For the total magnetization, the calculation gives 5.8 μB/cell. Its crystal system is cubic. The value obtained for the calculated formation energy is -0.02 eV per atom. The energy above the most stable polymorph in this dataset comes out at 137.3 meV/atom. As for the total energy: -22.431 eV per formula unit. The calculation puts the density of states at the Fermi level at 13.9 states/eV per cell.


No. 4
Pu4Tl5Au2: optimized geometry, PBE-GGA.

Unit cell a=3.250 b=8.263 c=10.602 alpha=94.33 beta=90.00 gamma=90.00
Site moments in Bohr magnetons follow the coordinates.
Fractional positions:
Pu1 0.500 0.162 0.878  5.54
Pu2 0.500 0.739 0.554  5.49
Pu3 0.500 0.838 0.122  5.54
Pu4 0.500 0.261 0.446  5.49
Tl1 0.000 0.191 0.162  -0.01
Tl2 0.000 0.559 0.303  -0.01
Tl3 0.000 0.500 0.000  -0.01
Tl4 0.000 0.809 0.838  -0.01
Tl5 0.000 0.441 0.697  -0.01
Au1 0.000 0.941 0.367  0.02
Au2 0.000 0.059 0.633  0.02

Results
For the total magnetization, the calculation gives 23.3 μB/cell. Its crystal system is monoclinic. The value obtained for the calculated formation energy is -0.15 eV per atom. As for the total energy: -77.340 eV per formula unit. The calculation puts the density of states at the Fermi level at 35.3 states/eV per cell.


No. 5
Pu4TlAu5: optimized geometry, PBE-GGA.

Unit cell a=3.569 b=3.569 c=18.857 alpha=90.00 beta=90.00 gamma=90.00
Site moments in Bohr magnetons follow the coordinates.
Fractional positions:
Au1 0.500 0.500 0.701  0.00
Au2 0.500 0.500 0.898  0.02
Au3 0.500 0.500 0.299  0.00
Au4 0.500 0.500 0.102  0.02
Au5 0.500 0.500 0.500  -0.05
Pu1 0.000 0.000 0.804  5.37
Pu2 0.000 0.000 0.400  -5.43
Pu3 0.000 0.000 0.196  5.37
Pu4 0.000 0.000 0.600  -5.43
Tl1 0.000 0.000 0.000  0.01

Results
For the total magnetization, the calculation gives 0.2 μB/cell. Its crystal system is tetragonal. The value obtained for the calculated formation energy is -0.33 eV per atom. As for the total energy: -79.387 eV per formula unit. The calculation puts the density of states at the Fermi level at 41.0 states/eV per cell.


No. 6
PuTl2Au: optimized geometry, PBE-GGA.

Unit cell a=3.562 b=3.562 c=9.775 alpha=79.42 beta=79.42 gamma=59.85
Site moments in Bohr magnetons follow the coordinates.
Fractional positions:
Au1 0.667 0.667 0.000  0.01
Pu1 0.500 0.500 0.500  5.69
Tl1 0.073 0.073 0.780  0.00
Tl2 0.260 0.260 0.220  -0.01

Results
For the total magnetization, the calculation gives 6.2 μB/cell. Its crystal system is monoclinic. The value obtained for the calculated formation energy is 0.07 eV per atom. The energy above the most stable polymorph in this dataset comes out at 232.6 meV/atom. As for the total energy: -22.049 eV per formula unit. The calculation puts the density of states at the Fermi level at 9.8 states/eV per cell.


No. 7
Pu6TlAu5: optimized geometry, PBE-GGA.

Unit cell a=4.741 b=8.617 c=8.617 alpha=111.02 beta=105.98 gamma=105.98
Site moments in Bohr magnetons follow the coordinates.
Fractional positions:
Pu1 0.742 0.570 0.913  5.51
Pu2 0.258 0.087 0.430  5.51
Pu3 0.234 0.734 0.734  5.47
Pu4 0.742 0.913 0.570  5.51
Pu5 0.258 0.430 0.087  5.51
Pu6 0.766 0.266 0.266  5.47
Au1 0.000 0.329 0.671  0.04
Au2 0.000 0.671 0.329  0.04
Au3 0.500 0.158 0.842  0.04
Au4 0.500 0.842 0.158  0.04
Au5 0.500 0.500 0.500  0.06
Tl1 0.000 0.000 0.000  -0.03

Results
For the total magnetization, the calculation gives 35.0 μB/cell. Its crystal system is orthorhombic. The value obtained for the calculated formation energy is -0.32 eV per atom. As for the total energy: -108.530 eV per formula unit. The calculation puts the density of states at the Fermi level at 45.2 states/eV per cell.


No. 8
Pu3TlAu2: optimized geometry, PBE-GGA.

Unit cell a=3.381 b=3.381 c=12.974 alpha=90.00 beta=90.00 gamma=90.00
Site moments in Bohr magnetons follow the coordinates.
Fractional positions:
Pu1 0.000 0.000 0.316  5.54
Pu2 0.000 0.000 0.000  5.56
Pu3 0.000 0.000 0.684  5.54
Au1 0.500 0.500 0.842  0.06
Au2 0.500 0.500 0.158  0.06
Tl1 0.500 0.500 0.500  -0.04

Results
For the total magnetization, the calculation gives 17.8 μB/cell. Its crystal system is tetragonal. The value obtained for the calculated formation energy is -0.26 eV per atom. As for the total energy: -53.487 eV per formula unit. The calculation puts the density of states at the Fermi level at 23.4 states/eV per cell.


No. 9
PuTl2Au: optimized geometry, PBE-GGA.

Unit cell a=3.386 b=3.386 c=11.284 alpha=81.37 beta=81.37 gamma=60.00
Site moments in Bohr magnetons follow the coordinates.
Fractional positions:
Au1 0.500 0.500 0.500  0.01
Pu1 0.000 0.000 0.000  5.80
Tl1 0.902 0.902 0.293  0.01
Tl2 0.098 0.098 0.707  0.01

Results
For the total magnetization, the calculation gives 6.4 μB/cell. Its crystal system is trigonal. The value obtained for the calculated formation energy is 0.23 eV per atom. The energy above the most stable polymorph in this dataset comes out at 388.2 meV/atom. As for the total energy: -21.427 eV per formula unit. The calculation puts the density of states at the Fermi level at 10.2 states/eV per cell.


No. 10
PuTl2Au: optimized geometry, PBE-GGA.

Unit cell a=4.943 b=4.559 c=4.559 alpha=90.00 beta=90.00 gamma=90.00
Site moments in Bohr magnetons follow the coordinates.
Fractional positions:
Tl1 0.000 0.000 0.500  0.03
Tl2 0.000 0.500 0.000  0.03
Au1 0.500 0.000 0.000  0.04
Pu1 0.500 0.500 0.500  5.47

Results
For the total magnetization, the calculation gives 6.0 μB/cell. Its crystal system is tetragonal. The value obtained for the calculated formation energy is -0.08 eV per atom. The energy above the most stable polymorph in this dataset comes out at 76.9 meV/atom. As for the total energy: -22.672 eV per formula unit. The calculation puts the density of states at the Fermi level at 14.7 states/eV per cell.


No. 11
Pu2TlAu: optimized geometry, PBE-GGA.

Unit cell a=3.262 b=5.620 c=5.620 alpha=90.00 beta=90.00 gamma=90.00
Site moments in Bohr magnetons follow the coordinates.
Fractional positions:
Tl1 0.500 0.500 0.500  0.01
Pu1 0.000 0.000 0.500  5.56
Pu2 0.000 0.500 0.000  5.56
Au1 0.500 0.000 0.000  0.05

Results
For the total magnetization, the calculation gives 11.9 μB/cell. Its crystal system is tetragonal. The value obtained for the calculated formation energy is -0.15 eV per atom. As for the total energy: -34.896 eV per formula unit. The calculation puts the density of states at the Fermi level at 16.0 states/eV per cell.


No. 12
Pu2TlAu: optimized geometry, PBE-GGA.

Unit cell a=4.987 b=4.987 c=5.228 alpha=61.51 beta=61.51 gamma=60.00
Site moments in Bohr magnetons follow the coordinates.
Fractional positions:
Pu1 0.259 0.259 0.223  -5.09
Pu2 0.995 0.995 0.015  5.11
Tl1 0.498 0.498 0.506  -0.01
Au1 0.748 0.748 0.756  -0.02

Results
For the total magnetization, the calculation gives 0.0 μB/cell. Its crystal system is trigonal. The value obtained for the calculated formation energy is 0.04 eV per atom. As for the total energy: -34.153 eV per formula unit. The calculation puts the density of states at the Fermi level at 19.3 states/eV per cell.


No. 13
Pu2TlAu: optimized geometry, PBE-GGA.

Unit cell a=3.448 b=3.448 c=10.415 alpha=80.47 beta=80.47 gamma=60.00
Site moments in Bohr magnetons follow the coordinates.
Fractional positions:
Tl1 0.500 0.500 0.500  -0.03
Pu1 0.744 0.744 0.768  5.56
Pu2 0.256 0.256 0.232  5.56
Au1 0.000 0.000 0.000  0.04

Results
For the total magnetization, the calculation gives 11.9 μB/cell. Its crystal system is trigonal. The value obtained for the calculated formation energy is -0.03 eV per atom. As for the total energy: -34.439 eV per formula unit. The calculation puts the density of states at the Fermi level at 17.1 states/eV per cell.


No. 14
Pu2TlAu: optimized geometry, PBE-GGA.

Unit cell a=3.900 b=3.900 c=6.752 alpha=90.00 beta=90.00 gamma=90.00
Site moments in Bohr magnetons follow the coordinates.
Fractional positions:
Au1 0.500 0.500 0.000  0.02
Pu1 0.000 0.000 0.232  5.50
Pu2 0.000 0.000 0.768  5.50
Tl1 0.500 0.500 0.500  0.01

Results
For the total magnetization, the calculation gives 11.6 μB/cell. Its crystal system is tetragonal. The value obtained for the calculated formation energy is -0.19 eV per atom. As for the total energy: -35.072 eV per formula unit. The calculation puts the density of states at the Fermi level at 14.7 states/eV per cell.